# Pr2LuBi3

Pr2LuBi3 after structural relaxation (PBE-GGA, OQMD via LeMat-Bulk).

Unit cell a=4.5346 b=4.5346 c=11.1199 alpha=90.00 beta=90.00 gamma=120.00
Closest atoms and distances in Å follow each position.
Positions (direct):
Pr1 0.3333 0.6667 0.3279  6 Bi 3.24-3.26
Pr2 0.6667 0.3333 0.6721  6 Bi 3.24-3.26
Lu1 0.0000 0.0000 0.0000  6 Bi 3.12
Bi1 0.0000 0.0000 0.5000  6 Pr 3.24
Bi2 0.3333 0.6667 0.8472  3 Lu 3.12, 3 Pr 3.26
Bi3 0.6667 0.3333 0.1528  3 Lu 3.12, 3 Pr 3.26

=====

# PrLuBi

PrLuBi after structural relaxation (PBE-GGA, OQMD via LeMat-Bulk).

Unit cell a=5.2274 b=5.2274 c=5.2274 alpha=60.00 beta=60.00 gamma=60.00
Closest atoms and distances in Å follow each position.
Positions (direct):
Pr1 0.0000 0.0000 0.0000  4 Bi 3.20
Lu1 0.5000 0.5000 0.5000  4 Bi 3.20
Bi1 0.7500 0.7500 0.7500  4 Pr 3.20, 4 Lu 3.20

=====

Ordered total energy results: -5.261 -4.718; unit eV/atom.
Ordered M_tot results: 0.0 0.0; unit μB per formula unit.